The following is a DFT calculation (PBE) of Al2CuHgTe4 after structural relaxation.

The uncorrected formation energy is -0.200 eV per atom.

The structure belongs to space group Fmm2 (No. 42); the cell edges are 8.7973, 9.3205 and 12.3205 Å and the angles 90.00°, 90.00° and 90.00°. Symmetry generates all atoms from Al at (0.2500, 0.2500, 0.0000), Cu at (0.0000, 0.0000, 0.2532), Hg at (0.0000, 0.0000, 0.7513), Te at (0.0000, 0.2293, 0.1310) and Te at (0.2299, 0.0000, 0.3872).

The following is a DFT calculation (PBE) of Th2Al4Cu3Hg after structural relaxation.

The value obtained for the energy of formation from the pure elements is -0.38 eV/atom.

The structure belongs to space group P-4m2 (No. 115); the cell edges are 4.2888, 4.2888 and 10.3917 Å and the angles 90.00°, 90.00° and 90.00°. Symmetry generates all atoms from Th at (0.0000, 0.5000, 0.2408), Al at (0.0000, 0.0000, 0.0000), Al at (0.0000, 0.5000, 0.6453), Al at (0.5000, 0.5000, 0.0000), Cu at (0.0000, 0.5000, 0.8761), Cu at (0.5000, 0.5000, 0.5000) and Hg at (0.0000, 0.0000, 0.5000).

Sequential N(E_F) output: 0.393 0.548 states/eV per atom